[1]
The following is a PBEsol calculation of a geometry-optimized CaGe3W structure, from the Alexandria database.

SG	Pm-3m (221)
D(E_F)	0.52	states/eV/atom
final energy	-30.45	eV for the cell shown
energy relative to the elements	62	meV/atom

Unit cell a=4.868 b=4.868 c=4.868 alpha=90.00 beta=90.00 gamma=90.00
Positions (direct):
Ca: 0.000 0.000 0.000
Ge: 0.000 0.500 0.500
Ge: 0.500 0.000 0.500
Ge: 0.500 0.500 0.000
W: 0.500 0.500 0.500

***

[2]
The following is a PBEsol calculation of a geometry-optimized Ca3YGe structure, from the Alexandria database.

SG	Pm-3m (221)
D(E_F)	1.19	states/eV/atom
final energy	-12.82	eV for the cell shown
energy relative to the elements	1068	meV/atom

Unit cell a=5.728 b=5.728 c=5.728 alpha=90.00 beta=90.00 gamma=90.00
Positions (direct):
Ca: 0.000 0.000 0.500
Ca: 0.000 0.500 0.000
Ca: 0.500 0.000 0.000
Y: 0.000 0.000 0.000
Ge: 0.500 0.500 0.500

***

[3]
The following is a PBEsol calculation of a geometry-optimized Ca2ZnGe structure, from the Alexandria database.

SG	Fm-3m (225)
D(E_F)	0.18	states/eV/atom
final energy	-12.70	eV for the cell shown
energy relative to the elements	-479	meV/atom

Unit cell a=5.066 b=5.066 c=5.066 alpha=60.00 beta=60.00 gamma=60.00
Positions (direct):
Ca: 0.250 0.250 0.250
Ca: 0.750 0.750 0.750
Zn: 0.000 0.000 0.000
Ge: 0.500 0.500 0.500

***

[4]
The following is a PBEsol calculation of a geometry-optimized CaZn2Ge2 structure, from the Alexandria database.

SG	I4/mmm (139)
D(E_F)	0.33	states/eV/atom
final energy	-16.67	eV for the cell shown
energy relative to the elements	-299	meV/atom

Unit cell a=6.062 b=6.062 c=6.062 alpha=138.91 beta=138.91 gamma=59.51
Positions (direct):
Ca: 0.000 0.000 0.000
Zn: 0.387 0.387 0.000
Zn: 0.613 0.613 0.000
Ge: 0.250 0.750 0.500
Ge: 0.750 0.250 0.500

***

[5]
The following is a PBEsol calculation of a geometry-optimized CaZr2Ge2 structure, from the Alexandria database.

SG	I4/mmm (139)
D(E_F)	1.11	states/eV/atom
final energy	-32.87	eV for the cell shown
energy relative to the elements	-536	meV/atom

Unit cell a=6.745 b=6.745 c=6.745 alpha=142.76 beta=142.76 gamma=53.68
Positions (direct):
Ca: 0.000 0.000 0.000
Zr: 0.250 0.750 0.500
Zr: 0.750 0.250 0.500
Ge: 0.394 0.394 0.000
Ge: 0.606 0.606 0.000

***

[6]
The following is a PBEsol calculation of a geometry-optimized Ca2ZrGe2 structure, from the Alexandria database.

SG	I4/mmm (139)
D(E_F)	0.44	states/eV/atom
final energy	-24.40	eV for the cell shown
energy relative to the elements	-232	meV/atom

Unit cell a=7.029 b=7.029 c=7.029 alpha=145.75 beta=145.75 gamma=49.22
Positions (direct):
Ca: 0.250 0.750 0.500
Ca: 0.750 0.250 0.500
Zr: 0.000 0.000 0.000
Ge: 0.408 0.408 0.000
Ge: 0.592 0.592 0.000

***

[7]
The following is a PBEsol calculation of a geometry-optimized Ca3ZrGe structure, from the Alexandria database.

SG	Pm-3m (221)
D(E_F)	1.33	states/eV/atom
final energy	-15.26	eV for the cell shown
energy relative to the elements	1034	meV/atom

Unit cell a=5.477 b=5.477 c=5.477 alpha=90.00 beta=90.00 gamma=90.00
Positions (direct):
Ca: 0.000 0.000 0.500
Ca: 0.000 0.500 0.000
Ca: 0.500 0.000 0.000
Zr: 0.000 0.000 0.000
Ge: 0.500 0.500 0.500

***

[8]
The following is a PBEsol calculation of a geometry-optimized CaH2 structure, from the Alexandria database.

SG	P6_3/mmc (194)
final energy	-20.77	eV for the cell shown

Unit cell a=3.765 b=3.765 c=5.143 alpha=90.00 beta=90.00 gamma=120.00
Positions (direct):
Ca: 0.333 0.667 0.250
Ca: 0.667 0.333 0.750
H: 0.000 0.000 0.000
H: 0.000 0.000 0.500
H: 0.333 0.667 0.750
H: 0.667 0.333 0.250

***

[9]
The following is a PBEsol calculation of a geometry-optimized CaH2 structure, from the Alexandria database.

SG	Pnma (62)
D(E_F)	0.00	states/eV/atom
final energy	-42.06	eV for the cell shown

Unit cell a=5.768 b=3.512 c=6.651 alpha=90.00 beta=90.00 gamma=90.00
Positions (direct):
Ca: 0.240 0.250 0.111
Ca: 0.260 0.750 0.611
Ca: 0.740 0.250 0.389
Ca: 0.760 0.750 0.889
H: 0.026 0.750 0.319
H: 0.146 0.750 0.928
H: 0.354 0.250 0.428
H: 0.474 0.250 0.819
H: 0.526 0.750 0.181
H: 0.646 0.750 0.572
H: 0.854 0.250 0.072
H: 0.974 0.250 0.681

***

[10]
The following is a PBEsol calculation of a geometry-optimized CaHf3H structure, from the Alexandria database.

SG	Pm-3m (221)
D(E_F)	1.25	states/eV/atom
final energy	-35.98	eV for the cell shown

Unit cell a=4.546 b=4.546 c=4.546 alpha=90.00 beta=90.00 gamma=90.00
Positions (direct):
Ca: 0.000 0.000 0.000
Hf: 0.000 0.500 0.500
Hf: 0.500 0.000 0.500
Hf: 0.500 0.500 0.000
H: 0.500 0.500 0.500

***

[11]
The following is a PBEsol calculation of a geometry-optimized CaHg3H structure, from the Alexandria database.

SG	Pm-3m (221)
D(E_F)	0.35	states/eV/atom
final energy	-7.35	eV for the cell shown

Unit cell a=4.647 b=4.647 c=4.647 alpha=90.00 beta=90.00 gamma=90.00
Positions (direct):
Ca: 0.000 0.000 0.000
Hg: 0.000 0.500 0.500
Hg: 0.500 0.000 0.500
Hg: 0.500 0.500 0.000
H: 0.500 0.500 0.500

***

[12]
The following is a PBEsol calculation of a geometry-optimized Ca3HgH structure, from the Alexandria database.

SG	Pm-3m (221)
D(E_F)	0.80	states/eV/atom
final energy	-12.09	eV for the cell shown

Unit cell a=4.893 b=4.893 c=4.893 alpha=90.00 beta=90.00 gamma=90.00
Positions (direct):
Ca: 0.000 0.000 0.500
Ca: 0.000 0.500 0.000
Ca: 0.500 0.000 0.000
Hg: 0.500 0.500 0.500
H: 0.000 0.000 0.000

***

[13]
The following is a PBEsol calculation of a geometry-optimized CaNb2HgH structure, from the Alexandria database.

SG	P4/mmm (123)
D(E_F)	0.66	states/eV/atom
final energy	-26.66	eV for the cell shown

Unit cell a=4.068 b=4.068 c=5.150 alpha=90.00 beta=90.00 gamma=90.00
Positions (direct):
Ca: 0.000 0.000 0.000
Nb: 0.000 0.500 0.500
Nb: 0.500 0.000 0.500
Hg: 0.500 0.500 0.000
H: 0.500 0.500 0.500

***

[14]
The following is a PBEsol calculation of a geometry-optimized CaH2I2O7 structure, from the Alexandria database.

SG	P2_1/c (14)
D(E_F)	0.00	states/eV/atom
final energy	-247.69	eV for the cell shown

Unit cell a=8.266 b=9.798 c=7.507 alpha=90.00 beta=94.16 gamma=90.00
Positions (direct):
Ca: 0.212 0.010 0.156
Ca: 0.212 0.490 0.656
Ca: 0.788 0.510 0.344
Ca: 0.788 0.990 0.844
H: 0.219 0.085 0.781
H: 0.219 0.415 0.281
H: 0.383 0.503 0.327
H: 0.383 0.997 0.827
H: 0.617 0.003 0.173
H: 0.617 0.497 0.673
H: 0.781 0.585 0.719
H: 0.781 0.915 0.219
I: 0.031 0.683 0.045
I: 0.031 0.817 0.545
I: 0.493 0.684 0.053
I: 0.493 0.816 0.553
I: 0.507 0.184 0.447
I: 0.507 0.316 0.947
I: 0.969 0.183 0.455
I: 0.969 0.317 0.955
O: 0.002 0.090 0.668
O: 0.002 0.410 0.168
O: 0.026 0.643 0.454
O: 0.026 0.857 0.954
O: 0.173 0.174 0.385
O: 0.173 0.326 0.885
O: 0.311 0.071 0.870
O: 0.311 0.429 0.370
O: 0.340 0.556 0.976
O: 0.340 0.944 0.476
O: 0.344 0.690 0.610
O: 0.344 0.810 0.110
O: 0.468 0.122 0.216
O: 0.468 0.378 0.716
O: 0.532 0.622 0.284
O: 0.532 0.878 0.784
O: 0.656 0.190 0.890
O: 0.656 0.310 0.390
O: 0.660 0.056 0.524
O: 0.660 0.444 0.024
O: 0.689 0.571 0.630
O: 0.689 0.929 0.130
O: 0.827 0.674 0.115
O: 0.827 0.826 0.615
O: 0.974 0.143 0.046
O: 0.974 0.357 0.546
O: 0.998 0.590 0.832
O: 0.998 0.910 0.332

***

[15]
The following is a PBEsol calculation of a geometry-optimized CaH12I2O12 structure, from the Alexandria database.

SG	Fdd2 (43)
D(E_F)	0.00	states/eV/atom
final energy	-274.46	eV for the cell shown

Unit cell a=11.655 b=7.889 c=13.392 alpha=59.97 beta=35.88 gamma=84.15
Positions (direct):
Ca: 0.000 0.000 0.000
Ca: 0.250 0.250 0.250
H: 0.006 0.727 0.522
H: 0.007 0.466 0.436
H: 0.088 0.387 0.963
H: 0.160 0.814 0.784
H: 0.202 0.896 0.548
H: 0.287 0.688 0.162
H: 0.374 0.922 0.330
H: 0.387 0.088 0.562
H: 0.447 0.662 0.471
H: 0.466 0.007 0.090
H: 0.505 0.728 0.523
H: 0.662 0.447 0.420
H: 0.688 0.287 0.863
H: 0.702 0.896 0.048
H: 0.727 0.006 0.745
H: 0.728 0.505 0.244
H: 0.779 0.830 0.803
H: 0.814 0.160 0.243
H: 0.830 0.779 0.588
H: 0.877 0.920 0.328
H: 0.896 0.202 0.354
H: 0.896 0.702 0.354
H: 0.920 0.877 0.876
H: 0.922 0.374 0.373
I: 0.196 0.439 0.521
I: 0.405 0.729 0.811
I: 0.439 0.196 0.845
I: 0.729 0.405 0.054
O: 0.008 0.860 0.449
O: 0.020 0.334 0.276
O: 0.175 0.516 0.319
O: 0.220 0.406 0.647
O: 0.260 0.931 0.734
O: 0.334 0.020 0.369
O: 0.345 0.542 0.798
O: 0.406 0.220 0.727
O: 0.429 0.775 0.255
O: 0.452 0.935 0.905
O: 0.516 0.175 0.990
O: 0.523 0.603 0.844
O: 0.542 0.345 0.315
O: 0.567 0.801 0.390
O: 0.603 0.523 0.030
O: 0.709 0.995 0.475
O: 0.775 0.429 0.541
O: 0.801 0.567 0.242
O: 0.860 0.008 0.683
O: 0.881 0.974 0.916
O: 0.931 0.260 0.075
O: 0.935 0.452 0.708
O: 0.974 0.881 0.230
O: 0.995 0.709 0.821

***

[16]
The following is a PBEsol calculation of a geometry-optimized CaH12I2O14 structure, from the Alexandria database.

SG	C2/c (15)
D(E_F)	0.00	states/eV/atom
final energy	-293.23	eV for the cell shown

Unit cell a=10.364 b=10.364 c=11.273 alpha=119.60 beta=119.60 gamma=30.53
Positions (direct):
Ca: 0.059 0.941 0.750
Ca: 0.941 0.059 0.250
H: 0.023 0.634 0.008
H: 0.116 0.715 0.350
H: 0.141 0.339 0.803
H: 0.144 0.626 0.833
H: 0.225 0.717 0.970
H: 0.283 0.775 0.530
H: 0.285 0.884 0.150
H: 0.339 0.141 0.303
H: 0.366 0.977 0.492
H: 0.374 0.856 0.667
H: 0.395 0.530 0.349
H: 0.470 0.605 0.151
H: 0.530 0.395 0.849
H: 0.605 0.470 0.651
H: 0.626 0.144 0.333
H: 0.634 0.023 0.508
H: 0.661 0.859 0.697
H: 0.715 0.116 0.850
H: 0.717 0.225 0.470
H: 0.775 0.283 0.030
H: 0.856 0.374 0.167
H: 0.859 0.661 0.197
H: 0.884 0.285 0.650
H: 0.977 0.366 0.992
I: 0.080 0.562 0.477
I: 0.438 0.920 0.023
I: 0.562 0.080 0.977
I: 0.920 0.438 0.523
O: 0.030 0.315 0.669
O: 0.093 0.195 0.926
O: 0.135 0.442 0.615
O: 0.195 0.093 0.426
O: 0.208 0.374 0.902
O: 0.209 0.672 0.865
O: 0.217 0.718 0.363
O: 0.282 0.783 0.137
O: 0.288 0.547 0.592
O: 0.315 0.030 0.169
O: 0.328 0.791 0.635
O: 0.374 0.208 0.402
O: 0.442 0.135 0.115
O: 0.453 0.712 0.908
O: 0.547 0.288 0.092
O: 0.558 0.865 0.885
O: 0.626 0.792 0.598
O: 0.672 0.209 0.365
O: 0.685 0.970 0.831
O: 0.712 0.453 0.408
O: 0.718 0.217 0.863
O: 0.783 0.282 0.637
O: 0.791 0.328 0.135
O: 0.792 0.626 0.098
O: 0.805 0.907 0.574
O: 0.865 0.558 0.385
O: 0.907 0.805 0.074
O: 0.970 0.685 0.331

***

[17]
The following is a PBEsol calculation of a geometry-optimized CaTeHI2 structure, from the Alexandria database.

SG	P4/mmm (123)
D(E_F)	0.55	states/eV/atom
final energy	-12.24	eV for the cell shown

Unit cell a=6.019 b=6.019 c=6.139 alpha=90.00 beta=90.00 gamma=90.00
Positions (direct):
Ca: 0.000 0.000 0.000
Te: 0.000 0.000 0.500
H: 0.500 0.500 0.500
I: 0.000 0.500 0.000
I: 0.500 0.000 0.000

***

[18]
The following is a PBEsol calculation of a geometry-optimized Ca2InH2 structure, from the Alexandria database.

SG	I4/mmm (139)
D(E_F)	0.51	states/eV/atom
final energy	-16.38	eV for the cell shown

Unit cell a=7.520 b=7.520 c=7.520 alpha=151.93 beta=151.93 gamma=40.11
Positions (direct):
Ca: 0.159 0.159 0.000
Ca: 0.841 0.841 0.000
In: 0.500 0.500 0.000
H: 0.250 0.750 0.500
H: 0.750 0.250 0.500

***

[19]
The following is a PBEsol calculation of a geometry-optimized CaInH2Pd structure, from the Alexandria database.

SG	P4/mmm (123)
D(E_F)	0.32	states/eV/atom
final energy	-16.01	eV for the cell shown

Unit cell a=4.076 b=4.076 c=5.202 alpha=90.00 beta=90.00 gamma=90.00
Positions (direct):
Ca: 0.000 0.000 0.000
In: 0.500 0.500 0.000
H: 0.000 0.500 0.500
H: 0.500 0.000 0.500
Pd: 0.000 0.000 0.500

***

[20]
The following is a PBEsol calculation of a geometry-optimized CaMnHIr2 structure, from the Alexandria database.

SG	P4/mmm (123)
D(E_F)	0.72	states/eV/atom
final energy	-34.34	eV for the cell shown

Unit cell a=4.105 b=4.105 c=3.888 alpha=90.00 beta=90.00 gamma=90.00
Positions (direct):
Ca: 0.000 0.000 0.000
Mn: 0.500 0.500 0.000
H: 0.500 0.500 0.500
Ir: 0.000 0.500 0.500
Ir: 0.500 0.000 0.500